Entry 1:
This record from Alexandria via LeMat-Bulk describes a relaxed structure of BaMg2Tc. The functional is GGA-PBE.

Calculated formation energy (eV per formula unit): 3.21
Magnetic moment (μB/cell): 3.02
SG: I-42d
V (Å³ per atom): 32.743

Cell: 10.183 10.183 10.183 Å, 150.08 150.08 42.82°
Atoms (fractional coordinates):
Ba  0.000  0.000  0.000
Ba  0.750  0.250  0.500
Mg  0.324  0.625  0.199
Mg  0.375  0.574  0.699
Mg  0.426  0.125  0.801
Mg  0.875  0.676  0.301
Tc  0.250  0.750  0.500
Tc  0.500  0.500  0.000

Entry 2:
This record from Alexandria via LeMat-Bulk describes a relaxed structure of BaMg2Tc. The functional is GGA-PBE.

Calculated formation energy (eV per formula unit): 2.89
Magnetic moment (μB/cell): 1.75
SG: P2/m
V (Å³ per atom): 25.034

Cell: 5.180 3.452 5.600 Å, 90.00 90.60 90.00°
Atoms (fractional coordinates):
Ba  0.000  0.000  0.000
Mg  0.000  0.500  0.500
Mg  0.500  0.000  0.500
Tc  0.500  0.500  0.000

Entry 3:
This record from Alexandria via LeMat-Bulk describes a relaxed structure of Ba2Mg2Tc. The functional is GGA-PBE.

Calculated formation energy (eV per formula unit): 6.45
Magnetic moment (μB/cell): 0.00
SG: I4/mmm
V (Å³ per atom): 30.323

Cell: 8.468 8.468 8.468 Å, 149.98 149.98 42.97°
Atoms (fractional coordinates):
Ba  0.250  0.750  0.500
Ba  0.750  0.250  0.500
Mg  0.080  0.080  0.000
Mg  0.920  0.920  0.000
Tc  0.500  0.500  0.000